The following is a DFT calculation (PBE) of an optimized crystal structure of PmYSc3.

a b c (Å): 6.3277 6.7740 8.3172
angles (deg): 101.84 112.37 57.37
With the nearest neighbours (Å) after each atom.
Fractional positions:
Pm  0.1019  0.2494  0.7028  7 Sc 3.13-3.39
Pm  0.8981  0.7506  0.2972  7 Sc 3.13-3.39
Y  0.5011  0.2503  0.5027  2 Y 3.39, 8 Sc 3.51-3.72, 4 Pm 3.52-3.53
Y  0.4989  0.7497  0.4973  2 Y 3.39, 8 Sc 3.51-3.72, 4 Pm 3.52-3.53
Sc  0.2751  0.0043  0.0723  8 Sc 3.12-3.46, 2 Pm 3.22-3.31
Sc  0.7026  0.5045  0.9273  8 Sc 3.12-3.46, 2 Pm 3.23-3.32
Sc  0.1016  0.7498  0.7039  4 Sc 3.12-3.30, 3 Pm 3.13-3.39
Sc  0.8984  0.2502  0.2961  4 Sc 3.12-3.30, 3 Pm 3.13-3.39
Sc  0.7249  0.9957  0.9277  8 Sc 3.12-3.46, 2 Pm 3.22-3.31
Sc  0.2974  0.4955  0.0727  8 Sc 3.12-3.46, 2 Pm 3.23-3.32

Properties
SG	P-1, No. 2
excess energy over the best structure of this formula in the dataset	0.000	eV per atom
DFT total energy	-29.95	eV per formula unit
D(E_F)	17.69	states/eV/cell
formation enthalpy at 0 K	0.051	eV per atom